No. 1
LuZrCuAs | GGA-PBE | optimized geometry

Structure (POSCAR):
```
LuZrCuAs
1.0
1.305 -4.472 1.044
0.616 -1.306 4.550
-3.109 -2.972 2.072
As Cu Zr Lu
1 1 1 1
direct
0.000 0.000 0.000
0.750 0.750 0.750
0.250 0.250 0.250
0.500 0.500 0.500
```

Properties
For the offset from the most stable computed form, the calculation gives 0.000 eV per formula unit. The calculated volume comes out at 76.92 Å³/cell. As for the energy: -20.91 eV/cell. As for the space group: F-43m (216).

No. 2
MgCu5As2 | GGA-PBE | optimized geometry

Structure (POSCAR):
```
MgCu5As2
1.0
4.193 0.000 0.000
0.000 4.193 0.000
0.000 0.000 6.449
As Cu Mg
2 5 1
direct
0.000 0.000 0.000
0.500 0.500 0.500
0.500 0.000 0.224
0.000 0.500 0.776
0.000 0.500 0.224
0.500 0.500 0.000
0.500 0.000 0.776
0.000 0.000 0.500
```

Properties
The calculated volume comes out at 113.38 Å³/cell. As for the energy: -28.91 eV/cell. As for the space group: P4/mmm (123).